1.
The following is a DFT calculation (PBEsol) of a geometry-optimized MgZnCu2 structure.

a = 4.1201 Å, b = 4.1201 Å, c = 7.7697 Å
α = 90.00°, β = 90.00°, γ = 120.00°
Last column: nearest neighbours and their distance in Å.
Sites, in units of the cell vectors:
1 Mg 0.3333 0.6667 0.7500  8 Cu 2.60-2.70
2 Cu 0.6667 0.3333 0.9152  3 Zn 2.47, 4 Cu 2.57-2.72, 4 Mg 2.60-2.70
3 Cu 0.3333 0.6667 0.0848  3 Zn 2.47, 4 Cu 2.57-2.72, 4 Mg 2.60-2.70
4 Cu 0.6667 0.3333 0.5848  3 Zn 2.47, 4 Cu 2.57-2.72, 4 Mg 2.60-2.70
5 Zn 0.0000 0.0000 0.0000  6 Cu 2.47
6 Zn 0.0000 0.0000 0.5000  6 Cu 2.47
7 Cu 0.3333 0.6667 0.4152  3 Zn 2.47, 4 Cu 2.57-2.72, 4 Mg 2.60-2.70
8 Mg 0.6667 0.3333 0.2500  8 Cu 2.60-2.70

Values from the calculation:
Energy of formation from the pure elements ... -0.08 eV per atom
Fermi-level density of states ... 1.66 states/eV/f.u.
Symmetry ... P6_3/mmc

2.
The following is a DFT calculation (PBEsol) of a geometry-optimized MgZn2Cu structure.

a = 2.8707 Å, b = 4.2081 Å, c = 9.8612 Å
α = 90.00°, β = 98.37°, γ = 90.00°
Last column: nearest neighbours and their distance in Å.
Sites, in units of the cell vectors:
1 Zn 0.9659 0.2500 0.9318  1 Cu 2.44, 2 Zn 2.49
2 Cu 0.8410 0.2500 0.6819  5 Zn 2.44-2.56
3 Zn 0.7676 0.7500 0.5353  4 Cu 2.54-2.56, 4 Zn 2.64
4 Mg 0.3972 0.7500 0.7943  4 Cu 2.77, 2 Mg 2.87, 8 Zn 2.88-3.03
5 Cu 0.1590 0.7500 0.3181  5 Zn 2.44-2.56
6 Zn 0.2324 0.2500 0.4647  4 Cu 2.54-2.56, 4 Zn 2.64
7 Zn 0.0341 0.7500 0.0682  1 Cu 2.44, 2 Zn 2.49
8 Mg 0.6028 0.2500 0.2057  4 Cu 2.77, 2 Mg 2.87, 8 Zn 2.88-3.03

Values from the calculation:
Energy of formation from the pure elements ... -0.09 eV per atom
Fermi-level density of states ... 1.17 states/eV/f.u.
Symmetry ... Cmcm

3.
The following is a DFT calculation (PBEsol) of a geometry-optimized MgZn3Cu2 structure.

a = 4.9406 Å, b = 5.9790 Å, c = 5.9790 Å
α = 93.14°, β = 90.00°, γ = 90.00°
Last column: nearest neighbours and their distance in Å.
Sites, in units of the cell vectors:
1 Mg 0.7500 0.6220 0.6220  4 Cu 2.70, 1 Zn 2.96
2 Zn 0.7500 0.4242 0.0854  4 Cu 2.47-2.53, 1 Zn 2.68
3 Mg 0.2500 0.3780 0.3780  4 Cu 2.70, 1 Zn 2.96
4 Zn 0.2500 0.0179 0.0179  4 Zn 2.49-2.68, 4 Cu 2.49
5 Zn 0.2500 0.5758 0.9146  4 Cu 2.47-2.53, 1 Zn 2.68
6 Cu 0.5000 0.2483 0.7517  6 Zn 2.47-2.53, 2 Cu 2.47, 2 Mg 2.70
7 Zn 0.2500 0.9146 0.5758  4 Cu 2.47-2.53, 1 Zn 2.68
8 Cu 0.5000 0.7517 0.2483  6 Zn 2.47-2.53, 2 Cu 2.47, 2 Mg 2.70
9 Zn 0.7500 0.9821 0.9821  4 Zn 2.49-2.68, 4 Cu 2.49
10 Cu 0.0000 0.2483 0.7517  6 Zn 2.47-2.53, 2 Cu 2.47, 2 Mg 2.70
11 Cu 0.0000 0.7517 0.2483  6 Zn 2.47-2.53, 2 Cu 2.47, 2 Mg 2.70
12 Zn 0.7500 0.0854 0.4242  4 Cu 2.47-2.53, 1 Zn 2.68

Values from the calculation:
Energy of formation from the pure elements ... -0.06 eV per atom
Fermi-level density of states ... 1.74 states/eV/f.u.
Symmetry ... Cmcm

4.
The following is a DFT calculation (PBEsol) of a geometry-optimized Mg2Zn2Cu structure.

a = 5.2500 Å, b = 5.2500 Å, c = 6.9923 Å
α = 74.07°, β = 74.07°, γ = 61.27°
Last column: nearest neighbours and their distance in Å.
Sites, in units of the cell vectors:
1 Zn 0.9804 0.2494 0.5229  2 Cu 2.49-2.50, 2 Zn 2.63-2.66, 3 Mg 2.73-2.79
2 Mg 0.5471 0.7787 0.3614  6 Zn 2.73-2.97, 3 Cu 2.78-2.95
3 Zn 0.7506 0.0196 0.9771  2 Cu 2.49-2.50, 2 Zn 2.63-2.66, 3 Mg 2.73-2.79
4 Mg 0.4529 0.2213 0.6386  6 Zn 2.73-2.97, 3 Cu 2.78-2.95
5 Zn 0.2494 0.9804 0.0229  2 Cu 2.49-2.50, 2 Zn 2.63-2.66, 3 Mg 2.73-2.79
6 Cu 0.2240 0.7760 0.7500  4 Zn 2.49-2.50, 2 Mg 2.78
7 Cu 0.7760 0.2240 0.2500  4 Zn 2.49-2.50, 2 Mg 2.78
8 Mg 0.2213 0.4529 0.1386  6 Zn 2.73-2.97, 3 Cu 2.78-2.95
9 Zn 0.0196 0.7506 0.4771  2 Cu 2.49-2.50, 2 Zn 2.63-2.66, 3 Mg 2.73-2.79
10 Mg 0.7787 0.5471 0.8614  6 Zn 2.73-2.97, 3 Cu 2.78-2.95

Values from the calculation:
Energy of formation from the pure elements ... -0.10 eV per atom
Fermi-level density of states ... 1.45 states/eV/f.u.
Symmetry ... C2/c

5.
The following is a DFT calculation (PBEsol) of a geometry-optimized MgZn2Cu structure.

a = 3.0623 Å, b = 3.0623 Å, c = 6.1782 Å
α = 90.00°, β = 90.00°, γ = 90.00°
Last column: nearest neighbours and their distance in Å.
Sites, in units of the cell vectors:
1 Zn 0.0000 0.0000 0.0270  4 Zn 2.62, 1 Cu 2.74, 4 Mg 2.82
2 Mg 0.5000 0.5000 0.7356  4 Cu 2.71, 5 Zn 2.82-2.90
3 Zn 0.5000 0.5000 0.2660  4 Cu 2.51, 4 Zn 2.62
4 Cu 0.0000 0.0000 0.4713  5 Zn 2.51-2.74, 4 Mg 2.71

Values from the calculation:
Energy of formation from the pure elements ... -0.06 eV per atom
Fermi-level density of states ... 1.09 states/eV/f.u.
Symmetry ... P4mm

6.
The following is a DFT calculation (PBEsol) of a geometry-optimized Mg2Zn3Cu structure.

a = 5.0491 Å, b = 5.0491 Å, c = 5.0491 Å
α = 60.04°, β = 60.04°, γ = 60.04°
Last column: nearest neighbours and their distance in Å.
Sites, in units of the cell vectors:
1 Zn 0.5000 0.5000 0.0000  2 Cu 2.52, 4 Zn 2.53
2 Zn 0.5000 0.0000 0.5000  2 Cu 2.52, 4 Zn 2.53
3 Mg 0.8733 0.8733 0.8733  9 Zn 2.94-2.97, 3 Cu 2.96, 4 Mg 3.08-3.13
4 Cu 0.5000 0.5000 0.5000  6 Zn 2.52
5 Mg 0.1267 0.1267 0.1267  9 Zn 2.94-2.97, 3 Cu 2.96, 4 Mg 3.08-3.13
6 Zn 0.0000 0.5000 0.5000  2 Cu 2.52, 4 Zn 2.53

Values from the calculation:
Energy of formation from the pure elements ... -0.19 eV per atom
Fermi-level density of states ... 1.81 states/eV/f.u.
Symmetry ... R-3m

7.
The following is a DFT calculation (PBEsol) of a geometry-optimized MgZn2Cu4 structure.

a = 4.1497 Å, b = 4.1497 Å, c = 6.4768 Å
α = 71.32°, β = 71.32°, γ = 60.00°
Last column: nearest neighbours and their distance in Å.
Sites, in units of the cell vectors:
1 Zn 0.7259 0.7259 0.8223  4 Cu 2.39-2.49, 3 Mg 2.62
2 Zn 0.2741 0.2741 0.1777  4 Cu 2.39-2.49, 3 Mg 2.62
3 Cu 0.4292 0.4292 0.7125  3 Zn 2.49, 4 Cu 2.53-2.56
4 Cu 0.5708 0.5708 0.2875  3 Zn 2.49, 4 Cu 2.53-2.56
5 Cu 0.1416 0.1416 0.5752  1 Zn 2.39, 6 Cu 2.53-2.56, 1 Mg 2.56
6 Mg 0.0000 0.0000 0.0000  2 Cu 2.56, 6 Zn 2.62
7 Cu 0.8584 0.8584 0.4248  1 Zn 2.39, 6 Cu 2.53-2.56, 1 Mg 2.56

Values from the calculation:
Energy of formation from the pure elements ... -0.03 eV per atom
Fermi-level density of states ... 2.03 states/eV/f.u.
Symmetry ... R-3m

8.
The following is a DFT calculation (PBEsol) of a geometry-optimized MgZn2Cu4 structure.

a = 6.3495 Å, b = 6.3495 Å, c = 6.3495 Å
α = 104.61°, β = 111.95°, γ = 111.95°
Last column: nearest neighbours and their distance in Å.
Sites, in units of the cell vectors:
1 Zn 0.8040 0.1520 0.6520  8 Cu 2.41-2.58
2 Cu 0.5000 0.9788 0.1859  4 Zn 2.41-2.58, 4 Cu 2.44-2.60
3 Cu 0.5000 0.3141 0.5212  4 Zn 2.41-2.58, 4 Cu 2.44-2.60
4 Cu 0.7929 0.8141 0.3141  4 Zn 2.41-2.58, 4 Cu 2.44-2.60
5 Cu 0.5000 0.0212 0.8141  4 Zn 2.41-2.58, 4 Cu 2.44-2.60
6 Zn 0.5000 0.3480 0.1520  8 Cu 2.41-2.58
7 Cu 0.7929 0.4788 0.9788  4 Zn 2.41-2.58, 4 Cu 2.44-2.60
8 Cu 0.2071 0.1859 0.6859  4 Zn 2.41-2.58, 4 Cu 2.44-2.60
9 Cu 0.5000 0.6859 0.4788  4 Zn 2.41-2.58, 4 Cu 2.44-2.60
10 Zn 0.1960 0.8480 0.3480  8 Cu 2.41-2.58
11 Zn 0.5000 0.6520 0.8480  8 Cu 2.41-2.58
12 Cu 0.2071 0.5212 0.0212  4 Zn 2.41-2.58, 4 Cu 2.44-2.60
13 Mg 0.0000 0.7500 0.7500  8 Cu 2.79
14 Mg 0.0000 0.2500 0.2500  8 Cu 2.79

Values from the calculation:
Energy of formation from the pure elements ... -0.04 eV per atom
Fermi-level density of states ... 1.89 states/eV/f.u.
Symmetry ... I4/mcm

9.
The following is a DFT calculation (PBEsol) of a geometry-optimized Mg2Zn3Cu structure.

a = 5.0426 Å, b = 5.0426 Å, c = 8.3046 Å
α = 90.00°, β = 90.00°, γ = 120.00°
Last column: nearest neighbours and their distance in Å.
Sites, in units of the cell vectors:
1 Mg 0.6667 0.3333 0.4410  9 Zn 2.95-2.98, 3 Cu 2.95, 4 Mg 3.07-3.17
2 Zn 0.6652 0.8326 0.2500  4 Zn 2.51-2.53, 2 Cu 2.54
3 Zn 0.1674 0.3348 0.2500  4 Zn 2.51-2.53, 2 Cu 2.54
4 Mg 0.6667 0.3333 0.0590  9 Zn 2.95-2.98, 3 Cu 2.95, 4 Mg 3.07-3.17
5 Zn 0.8326 0.1674 0.7500  4 Zn 2.51-2.53, 2 Cu 2.54
6 Zn 0.1674 0.8326 0.2500  4 Zn 2.51-2.53, 2 Cu 2.54
7 Zn 0.8326 0.6652 0.7500  4 Zn 2.51-2.53, 2 Cu 2.54
8 Zn 0.3348 0.1674 0.7500  4 Zn 2.51-2.53, 2 Cu 2.54
9 Cu 0.0000 0.0000 0.5000  6 Zn 2.54
10 Mg 0.3333 0.6667 0.9410  9 Zn 2.95-2.98, 3 Cu 2.95, 4 Mg 3.07-3.17
11 Cu 0.0000 0.0000 0.0000  6 Zn 2.54
12 Mg 0.3333 0.6667 0.5590  9 Zn 2.95-2.98, 3 Cu 2.95, 4 Mg 3.07-3.17

Values from the calculation:
Energy of formation from the pure elements ... -0.18 eV per atom
Fermi-level density of states ... 1.91 states/eV/f.u.
Symmetry ... P6_3/mmc

10.
The following is a DFT calculation (PBEsol) of a geometry-optimized MgZn2Cu structure.

a = 2.9044 Å, b = 4.0818 Å, c = 9.9482 Å
α = 90.00°, β = 90.00°, γ = 90.00°
Last column: nearest neighbours and their distance in Å.
Sites, in units of the cell vectors:
1 Cu 0.5000 0.0000 0.1821  5 Zn 2.50-2.57, 4 Mg 2.70
2 Mg 0.5000 0.0000 0.7175  4 Cu 2.70, 7 Zn 2.82-2.92, 2 Mg 2.90
3 Cu 0.0000 0.5000 0.8179  5 Zn 2.50-2.57, 4 Mg 2.70
4 Mg 0.0000 0.5000 0.2825  4 Cu 2.70, 7 Zn 2.82-2.92, 2 Mg 2.90
5 Zn 0.5000 0.0000 0.4337  1 Cu 2.50
6 Zn 0.0000 0.0000 0.9685  4 Cu 2.53-2.57, 4 Zn 2.58
7 Zn 0.0000 0.5000 0.5663  1 Cu 2.50
8 Zn 0.5000 0.5000 0.0315  4 Cu 2.53-2.57, 4 Zn 2.58

Values from the calculation:
Energy of formation from the pure elements ... -0.07 eV per atom
Fermi-level density of states ... 1.30 states/eV/f.u.
Symmetry ... Pmmn

11.
The following is a DFT calculation (PBEsol) of a geometry-optimized MgZnCu2 structure.

a = 3.0434 Å, b = 3.0434 Å, c = 5.9094 Å
α = 90.00°, β = 90.00°, γ = 90.00°
Last column: nearest neighbours and their distance in Å.
Sites, in units of the cell vectors:
1 Cu 0.5000 0.5000 0.2206  4 Cu 2.50, 1 Zn 2.55, 4 Mg 2.66
2 Mg 0.0000 0.0000 0.4840  5 Cu 2.66-2.82, 4 Zn 2.80
3 Cu 0.0000 0.0000 0.0070  4 Cu 2.50, 4 Zn 2.51
4 Zn 0.5000 0.5000 0.7884  5 Cu 2.51-2.55, 4 Mg 2.80

Values from the calculation:
Energy of formation from the pure elements ... -0.06 eV per atom
Fermi-level density of states ... 1.17 states/eV/f.u.
Symmetry ... P4mm

12.
The following is a DFT calculation (PBEsol) of a geometry-optimized MgZn2Cu2 structure.

a = 4.6872 Å, b = 5.0905 Å, c = 6.8532 Å
α = 109.39°, β = 90.00°, γ = 117.41°
Last column: nearest neighbours and their distance in Å.
Sites, in units of the cell vectors:
1 Zn 0.9623 0.2228 0.9579  6 Cu 2.53-2.80, 3 Zn 2.53-2.81, 3 Mg 2.72-2.75
2 Cu 0.4822 0.6024 0.8487  6 Zn 2.53-2.80, 3 Mg 2.63-2.67, 3 Cu 2.65-2.69
3 Zn 0.2605 0.2228 0.4579  6 Cu 2.53-2.80, 3 Zn 2.53-2.81, 3 Mg 2.72-2.75
4 Zn 0.7395 0.7772 0.5421  6 Cu 2.53-2.80, 3 Zn 2.53-2.81, 3 Mg 2.72-2.75
5 Mg 0.3549 0.0000 0.7500  6 Cu 2.63-2.67, 6 Zn 2.72-2.75
6 Cu 0.5178 0.3976 0.1513  6 Zn 2.53-2.80, 3 Mg 2.63-2.67, 3 Cu 2.65-2.69
7 Zn 0.0377 0.7772 0.0421  6 Cu 2.53-2.80, 3 Zn 2.53-2.81, 3 Mg 2.72-2.75
8 Cu 0.1201 0.6024 0.3487  6 Zn 2.53-2.80, 3 Mg 2.63-2.67, 3 Cu 2.65-2.69
9 Mg 0.6451 0.0000 0.2500  6 Cu 2.63-2.67, 6 Zn 2.72-2.75
10 Cu 0.8799 0.3976 0.6513  6 Zn 2.53-2.80, 3 Mg 2.63-2.67, 3 Cu 2.65-2.69

Values from the calculation:
Energy of formation from the pure elements ... -0.08 eV per atom
Fermi-level density of states ... 1.46 states/eV/f.u.
Symmetry ... C2/c

> What is the Fermi-level density of states in the fourth record?

1.45 states/eV/f.u.